5
Lattice="-0.802 1.534 -3.495 -3.899 -1.113 0.407 -0.802 3.424 1.687" Properties=species:S:1:pos:R:3 comment="CaC2SN | Alexandria via LeMat-Bulk | GGA-PBE | optimized geometry" e_form_raw_mev_per_atom=1999 magmom_total_mub_per_atom=0.25 rho_g_cm3=2.951 total_energy_ev_per_atom=-4.581 pbc="T T T"
N 0.000 0.000 0.000
S -1.949 -0.556 0.203
Ca -2.751 1.923 -0.701
C -0.401 0.767 -1.748
C -0.401 1.712 0.843